A relaxed structure of LaFe2Re2, computed with PBE.

abc: 4.159 4.159 5.879
angles: 69.28 69.28 90.00
Atoms (fractional coordinates):
Fe: 0.250 0.750 0.500
Fe: 0.750 0.250 0.500
La: 0.000 0.000 0.000
Re: 0.627 0.627 0.747
Re: 0.373 0.373 0.253

relative energy among the computed polymorphs = 0.52 eV per formula unit
total DFT energy (no corrections) = -9.086 eV/atom
density of states at the Fermi level = 6.4 states/eV per cell
space group = No. 139
formation energy from the elements = 1.3 eV/f.u.



A relaxed structure of LaFeRe, computed with PBE.

abc: 4.540 4.540 4.540
angles: 60.00 60.00 60.00
Last column: magnetic moment on the atom in μB.
Atoms (fractional coordinates):
Re: 0.000 0.000 0.000  -1.33
Fe: 0.500 0.500 0.500  -2.57
La: 0.250 0.250 0.250  0.05

relative energy among the computed polymorphs = 4.50 eV per formula unit
total DFT energy (no corrections) = -6.919 eV/atom
density of states at the Fermi level = 4.4 states/eV per cell
space group = No. 216
formation energy from the elements = 5.1 eV/f.u.



A relaxed structure of LaFeRe, computed with PBE.

abc: 4.531 4.531 4.531
angles: 60.00 60.00 60.00
Last column: magnetic moment on the atom in μB.
Atoms (fractional coordinates):
La: 0.500 0.500 0.500  -0.03
Fe: 0.000 0.000 0.000  -2.76
Re: 0.250 0.250 0.250  -0.30

relative energy among the computed polymorphs = 2.02 eV per formula unit
total DFT energy (no corrections) = -7.746 eV/atom
density of states at the Fermi level = 4.2 states/eV per cell
space group = No. 216
formation energy from the elements = 2.6 eV/f.u.



A relaxed structure of LaFe2Re, computed with PBE.

abc: 9.477 9.477 9.477
angles: 17.60 17.60 17.60
Last column: magnetic moment on the atom in μB.
Atoms (fractional coordinates):
Fe: 0.266 0.266 0.266  2.74
Fe: 0.998 0.998 0.998  2.37
Re: 0.734 0.734 0.734  -0.16
La: 0.502 0.502 0.502  -0.36

relative energy among the computed polymorphs = 1.97 eV per formula unit
total DFT energy (no corrections) = -7.933 eV/atom
density of states at the Fermi level = 5.1 states/eV per cell
space group = No. 160
formation energy from the elements = 2.6 eV/f.u.



A relaxed structure of LaFe2Re, computed with PBE.

abc: 4.156 4.156 5.790
angles: 68.98 68.98 59.99
Last column: magnetic moment on the atom in μB.
Atoms (fractional coordinates):
Re: 0.308 0.308 0.075  -0.18
La: 0.499 0.499 0.503  -0.11
Fe: 0.686 0.686 0.942  1.48
Fe: 0.007 0.007 0.979  1.54

relative energy among the computed polymorphs = 0.21 eV per formula unit
total DFT energy (no corrections) = -8.373 eV/atom
density of states at the Fermi level = 4.1 states/eV per cell
space group = No. 160
formation energy from the elements = 0.8 eV/f.u.



A relaxed structure of LaFe2Re, computed with PBE.

abc: 4.150 4.150 5.760
angles: 68.89 68.89 59.99
Last column: magnetic moment on the atom in μB.
Atoms (fractional coordinates):
Fe: 0.943 0.943 0.172  1.42
Fe: 0.557 0.557 0.328  1.42
Re: 0.250 0.250 0.250  -0.23
La: 0.750 0.750 0.750  -0.08

relative energy among the computed polymorphs = 0.00 eV per formula unit
total DFT energy (no corrections) = -8.426 eV/atom
density of states at the Fermi level = 5.5 states/eV per cell
space group = No. 166
formation energy from the elements = 0.6 eV/f.u.



A relaxed structure of LaFe2Re, computed with PBE.

abc: 3.066 4.634 4.634
angles: 90.00 90.00 90.00
Last column: magnetic moment on the atom in μB.
Atoms (fractional coordinates):
Fe: 0.000 0.500 0.500  2.21
Fe: 0.000 0.000 0.000  2.21
Re: 0.500 0.000 0.500  0.38
La: 0.500 0.500 0.000  -0.22

relative energy among the computed polymorphs = 1.72 eV per formula unit
total DFT energy (no corrections) = -7.994 eV/atom
density of states at the Fermi level = 6.6 states/eV per cell
space group = No. 123
formation energy from the elements = 2.3 eV/f.u.



A relaxed structure of La2FeRe, computed with PBE.

abc: 3.821 3.243 8.406
angles: 73.70 90.00 90.00
Last column: magnetic moment on the atom in μB.
Atoms (fractional coordinates):
Fe: 0.500 0.773 0.672  1.32
Re: 0.000 0.488 0.583  0.00
La: 0.000 0.973 0.910  -0.06
La: 0.500 0.266 0.336  0.01

relative energy among the computed polymorphs = 0.13 eV per formula unit
total DFT energy (no corrections) = -7.373 eV/atom
density of states at the Fermi level = 4.8 states/eV per cell
space group = No. 6
formation energy from the elements = 1.3 eV/f.u.



A relaxed structure of LaFeRe2, computed with PBE.

abc: 5.423 5.423 4.757
angles: 75.02 75.02 30.37
Atoms (fractional coordinates):
Re: 0.037 0.037 0.954
Re: 0.463 0.463 0.546
La: 0.250 0.250 0.250
Fe: 0.750 0.750 0.750

relative energy among the computed polymorphs = 1.03 eV per formula unit
total DFT energy (no corrections) = -9.082 eV/atom
density of states at the Fermi level = 3.4 states/eV per cell
space group = No. 12
formation energy from the elements = 2.0 eV/f.u.



A relaxed structure of LaFe2Re, computed with PBE.

abc: 2.981 2.995 7.890
angles: 67.69 90.00 90.00
Atoms (fractional coordinates):
Fe: 0.000 0.065 0.935
Fe: 0.000 0.435 0.565
Re: 0.500 0.750 0.750
La: 0.500 0.250 0.250

relative energy among the computed polymorphs = 0.62 eV per formula unit
total DFT energy (no corrections) = -8.270 eV/atom
density of states at the Fermi level = 3.7 states/eV per cell
space group = No. 47
formation energy from the elements = 1.2 eV/f.u.



A relaxed structure of La2FeRe, computed with PBE.

abc: 3.179 3.179 9.108
angles: 90.00 90.00 90.00
Last column: magnetic moment on the atom in μB.
Atoms (fractional coordinates):
La: 0.000 0.000 0.926  -0.10
La: 0.500 0.500 0.320  -0.03
Fe: 0.500 0.500 0.690  1.70
Re: 0.000 0.000 0.564  -0.11

relative energy among the computed polymorphs = 0.00 eV per formula unit
total DFT energy (no corrections) = -7.405 eV/atom
density of states at the Fermi level = 4.8 states/eV per cell
space group = No. 99
formation energy from the elements = 1.1 eV/f.u.



A relaxed structure of La2FeRe, computed with PBE.

abc: 5.098 5.098 3.566
angles: 87.33 87.33 89.88
Last column: magnetic moment on the atom in μB.
Atoms (fractional coordinates):
La: 0.000 0.000 0.000  0.12
La: 0.500 0.500 0.000  0.12
Fe: 0.000 0.500 0.500  -2.52
Re: 0.500 0.000 0.500  -0.63

relative energy among the computed polymorphs = 0.97 eV per formula unit
total DFT energy (no corrections) = -7.164 eV/atom
density of states at the Fermi level = 7.7 states/eV per cell
space group = No. 12
formation energy from the elements = 2.1 eV/f.u.



Look up the relative energy among the computed polymorphs of the sixth one.
0.00 eV per formula unit